{"formula": "Sm6YTm8", "functional": "GGA-PBE", "state": "relaxed", "lattice": [[6.467, 0.000, 0.000], [0.000, 8.167, -4.715], [0.000, 0.000, 9.430]], "species": ["Sm", "Sm", "Sm", "Sm", "Sm", "Sm", "Y", "Tm", "Tm", "Tm", "Tm", "Tm", "Tm", "Tm", "Tm"], "fractional_positions": [[0.591, 0.680, 0.093], [0.591, 0.907, 0.587], [0.591, 0.413, 0.320], [0.409, 0.320, 0.907], [0.409, 0.093, 0.413], [0.409, 0.587, 0.680], [0.500, 0.000, 0.000], [0.903, 0.978, 0.311], [0.903, 0.689, 0.666], [0.903, 0.334, 0.022], [0.097, 0.022, 0.689], [0.097, 0.311, 0.334], [0.097, 0.666, 0.978], [0.851, 0.333, 0.667], [0.149, 0.667, 0.333]], "dos_at_fermi_per_ev_atom": 1.464, "energy_ev_per_atom": -4.465, "formation_enthalpy_0k_kj_per_mol_atoms": 23, "polymorph_energy_mev_per_atom": 110, "crystal_system": "trigonal"}


{"formula": "Ac3Pr2Sn3", "functional": "GGA-PBE", "state": "relaxed", "lattice": [[-1.605, -1.312, 6.701], [-8.844, -3.035, -2.713], [7.373, -6.337, 0.526]], "species": ["Ac", "Ac", "Ac", "Ac", "Ac", "Ac", "Pr", "Pr", "Pr", "Pr", "Sn", "Sn", "Sn", "Sn", "Sn", "Sn"], "fractional_positions": [[0.750, 0.248, 0.000], [0.750, 0.752, 0.752], [0.750, 0.000, 0.248], [0.250, 0.752, 0.000], [0.250, 0.248, 0.248], [0.250, 0.000, 0.752], [0.000, 0.333, 0.667], [0.500, 0.667, 0.333], [0.000, 0.667, 0.333], [0.500, 0.333, 0.667], [0.750, 0.602, 0.000], [0.750, 0.398, 0.398], [0.750, 0.000, 0.602], [0.250, 0.398, 0.000], [0.250, 0.602, 0.602], [0.250, 0.000, 0.398]], "dos_at_fermi_per_ev_atom": 1.209, "energy_ev_per_atom": -4.884, "formation_enthalpy_0k_kj_per_mol_atoms": -62, "polymorph_energy_mev_per_atom": 0, "crystal_system": "hexagonal"}


{"formula": "Dy3Ga", "functional": "GGA-PBE", "state": "relaxed", "lattice": [[6.097, 0.000, 0.000], [3.049, 8.540, 0.000], [3.049, 0.000, 8.540]], "species": ["Dy", "Dy", "Dy", "Dy", "Dy", "Dy", "Dy", "Dy", "Dy", "Dy", "Dy", "Dy", "Ga", "Ga", "Ga", "Ga"], "fractional_positions": [[0.361, 0.962, 0.803], [0.127, 0.038, 0.197], [0.835, 0.803, 0.038], [0.677, 0.197, 0.962], [0.562, 0.326, 0.597], [0.484, 0.674, 0.403], [0.842, 0.597, 0.674], [0.112, 0.403, 0.326], [0.964, 0.952, 0.614], [0.530, 0.048, 0.386], [0.422, 0.614, 0.048], [0.084, 0.386, 0.952], [0.071, 0.247, 0.649], [0.966, 0.753, 0.351], [0.280, 0.649, 0.753], [0.683, 0.351, 0.247]], "dos_at_fermi_per_ev_atom": 1.621, "energy_ev_per_atom": -4.464, "formation_enthalpy_0k_kj_per_mol_atoms": -25, "polymorph_energy_mev_per_atom": 34, "crystal_system": "tetragonal"}


{"formula": "LiInReOs2", "functional": "GGA-PBE", "state": "relaxed", "lattice": [[-2.304, 2.978, -3.137], [0.612, -3.345, -3.625], [-4.283, -2.067, 1.184]], "species": ["Re", "Li", "Os", "Os", "In"], "fractional_positions": [[0.000, 0.500, 0.000], [0.500, 0.500, 0.500], [0.000, 0.000, 0.500], [0.500, 0.000, 0.000], [0.000, 0.000, 0.000]], "dos_at_fermi_per_ev_atom": 1.471, "energy_ev_per_atom": -5.112, "formation_enthalpy_0k_kj_per_mol_atoms": 270, "crystal_system": "tetragonal"}


{"formula": "La5Dy4Mg2", "functional": "GGA-PBE", "state": "relaxed", "lattice": [[3.698, 0.000, 0.000], [0.000, 9.196, 0.000], [0.000, 0.000, 21.503]], "species": ["La", "La", "La", "La", "La", "La", "La", "La", "La", "La", "Dy", "Dy", "Dy", "Dy", "Dy", "Dy", "Dy", "Dy", "Mg", "Mg", "Mg", "Mg"], "fractional_positions": [[0.000, 0.500, 0.000], [0.000, 0.000, 0.500], [0.000, 0.251, 0.218], [0.000, 0.749, 0.782], [0.000, 0.751, 0.282], [0.000, 0.249, 0.718], [0.000, 0.372, 0.436], [0.000, 0.628, 0.564], [0.000, 0.872, 0.064], [0.000, 0.128, 0.936], [0.500, 0.281, 0.577], [0.500, 0.719, 0.423], [0.500, 0.781, 0.923], [0.500, 0.219, 0.077], [0.500, 0.431, 0.851], [0.500, 0.569, 0.149], [0.500, 0.931, 0.649], [0.500, 0.069, 0.351], [0.500, 0.456, 0.311], [0.500, 0.544, 0.689], [0.500, 0.956, 0.189], [0.500, 0.044, 0.811]], "dos_at_fermi_per_ev_atom": 1.260, "energy_ev_per_atom": -4.182, "formation_enthalpy_0k_kj_per_mol_atoms": 2, "crystal_system": "orthorhombic"}


{"formula": "LaPm4Ho2Sc", "functional": "GGA-PBE", "state": "relaxed", "lattice": [[-2.970, 0.550, 4.071], [8.840, -2.206, 6.747], [2.752, 3.972, 1.471]], "species": ["La", "Pm", "Pm", "Pm", "Pm", "Ho", "Ho", "Sc"], "fractional_positions": [[0.500, 0.500, 0.000], [0.000, 0.750, 0.750], [0.000, 0.250, 0.250], [0.500, 0.750, 0.249], [0.500, 0.250, 0.751], [0.000, 0.000, 0.000], [0.500, 0.000, 0.500], [0.000, 0.500, 0.500]], "dos_at_fermi_per_ev_atom": 1.467, "energy_ev_per_atom": -4.895, "formation_enthalpy_0k_kj_per_mol_atoms": 3, "crystal_system": "orthorhombic"}


{"formula": "Sm4Os6O19", "functional": "GGA-PBE", "state": "relaxed", "lattice": [[7.407, 0.000, -2.619], [-3.703, 6.414, -2.619], [0.000, 0.000, 7.856]], "species": ["Sm", "Sm", "Sm", "Sm", "Os", "Os", "Os", "Os", "Os", "Os", "O", "O", "O", "O", "O", "O", "O", "O", "O", "O", "O", "O", "O", "O", "O", "O", "O", "O", "O"], "fractional_positions": [[0.000, 0.000, 0.698], [0.000, 0.698, 0.000], [0.302, 0.302, 0.302], [0.698, 0.000, 0.000], [0.362, 0.500, 0.862], [0.638, 0.500, 0.138], [0.138, 0.638, 0.500], [0.862, 0.362, 0.500], [0.500, 0.862, 0.362], [0.500, 0.138, 0.638], [0.680, 0.000, 0.680], [0.320, 0.000, 0.320], [0.320, 0.320, 0.000], [0.680, 0.680, 0.000], [0.000, 0.680, 0.680], [0.000, 0.320, 0.320], [0.000, 0.000, 0.000], [0.344, 0.286, 0.623], [0.656, 0.279, 0.942], [0.664, 0.721, 0.377], [0.942, 0.656, 0.279], [0.336, 0.714, 0.058], [0.623, 0.344, 0.286], [0.058, 0.336, 0.714], [0.377, 0.664, 0.721], [0.714, 0.058, 0.336], [0.279, 0.942, 0.656], [0.286, 0.623, 0.344], [0.721, 0.377, 0.664]], "dos_at_fermi_per_ev_atom": 0.529, "energy_ev_per_atom": -8.022, "raw_formation_energy_ev_per_fu": -52.18, "crystal_system": "cubic"}


{"formula": "BaMgTl2Pb", "functional": "GGA-PBE", "state": "relaxed", "lattice": [[-4.429, 3.031, -1.581], [-0.030, -2.622, -4.942], [-3.444, -3.933, 2.107]], "species": ["Pb", "Tl", "Tl", "Mg", "Ba"], "fractional_positions": [[0.000, 0.000, 0.500], [0.000, 0.500, 0.000], [0.500, 0.000, 0.000], [0.000, 0.000, 0.000], [0.500, 0.500, 0.500]], "dos_at_fermi_per_ev_atom": 0.539, "energy_ev_per_atom": -2.502, "formation_enthalpy_0k_kj_per_mol_atoms": -11, "polymorph_energy_mev_per_atom": 122, "crystal_system": "tetragonal"}


{"formula": "LiPtS2", "functional": "GGA-PBE", "state": "relaxed", "lattice": [[2.117, 0.000, 7.079], [-1.058, 1.833, 7.079], [-1.058, -1.833, 7.079]], "species": ["S", "S", "Pt", "Li"], "fractional_positions": [[0.891, 0.891, 0.891], [0.109, 0.109, 0.109], [0.500, 0.500, 0.500], [0.000, 0.000, 0.000]], "dos_at_fermi_per_ev_atom": 0.819, "energy_ev_per_atom": -4.476, "raw_formation_energy_ev_per_fu": -1.69, "crystal_system": "trigonal"}


{"formula": "VTe2ICl", "functional": "GGA-PBE", "state": "relaxed", "lattice": [[-2.083, 3.971, 3.132], [-4.678, -2.801, 0.440], [1.902, -2.484, 4.415]], "species": ["I", "Cl", "Te", "Te", "V"], "fractional_positions": [[0.000, 0.000, 0.500], [0.000, 0.000, 0.000], [0.000, 0.500, 0.000], [0.500, 0.000, 0.000], [0.500, 0.500, 0.500]], "dos_at_fermi_per_ev_atom": 2.176, "energy_ev_per_atom": -2.523, "raw_formation_energy_ev_per_fu": 6.18, "polymorph_energy_mev_per_atom": 1162, "crystal_system": "tetragonal"}


{"formula": "ReHgAu4", "functional": "GGA-PBE", "state": "relaxed", "lattice": [[2.810, -4.389, 1.727], [-2.509, -4.863, 0.450], [1.204, -4.046, -3.512]], "species": ["Re", "Hg", "Au", "Au", "Au", "Au"], "fractional_positions": [[0.000, 0.000, 0.000], [0.750, 0.750, 0.750], [0.876, 0.375, 0.375], [0.375, 0.375, 0.876], [0.375, 0.876, 0.375], [0.375, 0.375, 0.375]], "dos_at_fermi_per_ev_atom": 0.474, "energy_ev_per_atom": -3.553, "formation_enthalpy_0k_kj_per_mol_atoms": 73, "crystal_system": "cubic"}


{"formula": "Ho2Sc3Tl", "functional": "GGA-PBE", "state": "relaxed", "lattice": [[5.178, 0.000, 0.000], [0.000, 3.546, -1.199], [0.000, 0.832, 8.304]], "species": ["Ho", "Ho", "Sc", "Sc", "Sc", "Tl"], "fractional_positions": [[0.000, 0.663, 0.326], [0.000, 0.337, 0.674], [0.500, 0.173, 0.346], [0.500, 0.500, 0.000], [0.500, 0.827, 0.654], [0.000, 0.000, 0.000]], "dos_at_fermi_per_ev_atom": 1.053, "energy_ev_per_atom": -5.135, "formation_enthalpy_0k_kj_per_mol_atoms": -5, "polymorph_energy_mev_per_atom": 0, "crystal_system": "orthorhombic"}


{"formula": "Pr2Cd2Au15", "functional": "GGA-PBE", "state": "relaxed", "lattice": [[-3.947, -3.128, 5.408], [5.397, -0.816, 4.982], [-1.310, 6.039, 4.053]], "species": ["Pr", "Pr", "Cd", "Cd", "Au", "Au", "Au", "Au", "Au", "Au", "Au", "Au", "Au", "Au", "Au", "Au", "Au", "Au", "Au"], "fractional_positions": [[0.350, 0.350, 0.350], [0.650, 0.650, 0.650], [0.103, 0.103, 0.103], [0.897, 0.897, 0.897], [0.500, 0.000, 0.000], [0.000, 0.000, 0.500], [0.000, 0.500, 0.000], [0.000, 0.695, 0.305], [0.695, 0.305, 0.000], [0.305, 0.000, 0.695], [0.305, 0.695, 0.000], [0.695, 0.000, 0.305], [0.000, 0.305, 0.695], [0.157, 0.642, 0.642], [0.642, 0.642, 0.157], [0.642, 0.157, 0.642], [0.843, 0.358, 0.358], [0.358, 0.358, 0.843], [0.358, 0.843, 0.358]], "dos_at_fermi_per_ev_atom": 0.353, "energy_ev_per_atom": -3.486, "formation_enthalpy_0k_kj_per_mol_atoms": -29, "crystal_system": "trigonal"}


{"formula": "Mo2HW2", "functional": "GGA-PBE", "state": "relaxed", "lattice": [[-0.539, 3.891, -0.768], [-3.788, -0.276, 1.264], [-0.380, 3.168, 5.892]], "species": ["H", "Mo", "Mo", "W", "W"], "fractional_positions": [[0.000, 0.000, 0.000], [0.381, 0.381, 0.238], [0.619, 0.619, 0.762], [0.750, 0.250, 0.500], [0.250, 0.750, 0.500]], "dos_at_fermi_per_ev_atom": 0.496, "energy_ev_per_atom": -8.760, "polymorph_energy_mev_per_atom": 284, "crystal_system": "tetragonal"}


{"formula": "CdBiAsSe2", "functional": "GGA-PBE", "state": "relaxed", "lattice": [[5.202, 0.000, 0.000], [0.000, 5.202, 0.000], [0.000, 0.000, 5.130]], "species": ["As", "Bi", "Se", "Se", "Cd"], "fractional_positions": [[0.000, 0.000, 0.500], [0.500, 0.500, 0.500], [0.000, 0.500, 0.000], [0.500, 0.000, 0.000], [0.000, 0.000, 0.000]], "dos_at_fermi_per_ev_atom": 0.822, "energy_ev_per_atom": -2.769, "raw_formation_energy_ev_per_fu": 2.57, "polymorph_energy_mev_per_atom": 0, "crystal_system": "tetragonal"}


{"formula": "Y3Al2Sn4", "functional": "GGA-PBE", "state": "relaxed", "lattice": [[4.381, 0.000, -1.219], [-0.693, 6.342, -2.480], [-0.080, 0.067, 8.179]], "species": ["Y", "Y", "Y", "Al", "Al", "Sn", "Sn", "Sn", "Sn"], "fractional_positions": [[0.130, 0.640, 0.260], [0.870, 0.360, 0.740], [0.000, 0.000, 0.000], [0.656, 0.993, 0.312], [0.344, 0.007, 0.688], [0.473, 0.686, 0.947], [0.215, 0.251, 0.431], [0.527, 0.314, 0.053], [0.785, 0.749, 0.569]], "dos_at_fermi_per_ev_atom": 0.437, "energy_ev_per_atom": -5.289, "formation_enthalpy_0k_kj_per_mol_atoms": -51, "crystal_system": "triclinic"}


{"formula": "Sm3Tm8", "functional": "GGA-PBE", "state": "relaxed", "lattice": [[7.150, -0.199, -0.194], [-0.018, 7.153, -0.194], [-0.018, -0.017, 7.155]], "species": ["Sm", "Sm", "Sm", "Tm", "Tm", "Tm", "Tm", "Tm", "Tm", "Tm", "Tm"], "fractional_positions": [[0.500, 0.000, 0.500], [0.000, 0.500, 0.500], [0.500, 0.500, 0.000], [0.923, 0.306, 0.106], [0.306, 0.106, 0.923], [0.106, 0.923, 0.306], [0.348, 0.348, 0.348], [0.652, 0.652, 0.652], [0.894, 0.077, 0.694], [0.694, 0.894, 0.077], [0.077, 0.694, 0.894]], "dos_at_fermi_per_ev_atom": 1.855, "energy_ev_per_atom": -3.944, "formation_enthalpy_0k_kj_per_mol_atoms": 57, "polymorph_energy_mev_per_atom": 570, "crystal_system": "trigonal"}


{"formula": "Ca5Zr", "functional": "GGA-PBE", "state": "relaxed", "lattice": [[3.368, -5.833, 0.000], [3.368, 5.833, 0.000], [0.000, 0.000, 6.136]], "species": ["Ca", "Ca", "Ca", "Ca", "Ca", "Zr"], "fractional_positions": [[0.333, 0.667, 0.000], [0.667, 0.333, 0.000], [0.500, 0.000, 0.500], [0.000, 0.500, 0.500], [0.500, 0.500, 0.500], [0.000, 0.000, 0.000]], "dos_at_fermi_per_ev_atom": 1.788, "energy_ev_per_atom": -2.435, "formation_enthalpy_0k_kj_per_mol_atoms": 63, "polymorph_energy_mev_per_atom": 440, "crystal_system": "hexagonal"}


{"formula": "CePt4Rh", "functional": "GGA-PBE", "state": "relaxed", "lattice": [[-3.529, -2.167, -0.121], [0.807, -0.949, -6.560], [3.971, -6.548, 1.435]], "species": ["Ce", "Ce", "Pt", "Pt", "Pt", "Pt", "Pt", "Pt", "Pt", "Pt", "Rh", "Rh"], "fractional_positions": [[0.000, 0.639, 0.750], [0.000, 0.361, 0.250], [0.000, 0.000, 0.500], [0.000, 0.000, 0.000], [0.500, 0.971, 0.750], [0.500, 0.029, 0.250], [0.500, 0.703, 0.025], [0.500, 0.297, 0.975], [0.500, 0.703, 0.475], [0.500, 0.297, 0.525], [0.000, 0.283, 0.750], [0.000, 0.717, 0.250]], "dos_at_fermi_per_ev_atom": 1.169, "energy_ev_per_atom": -6.775, "formation_enthalpy_0k_kj_per_mol_atoms": -51, "polymorph_energy_mev_per_atom": 132, "crystal_system": "orthorhombic"}


{"formula": "FeRuBr2", "functional": "GGA-PBE", "state": "relaxed", "lattice": [[5.368, -0.027, 0.039], [0.938, 5.286, -0.039], [-1.888, -4.147, 2.839]], "species": ["Br", "Br", "Fe", "Ru"], "fractional_positions": [[0.996, 0.996, 0.000], [0.504, 0.504, 0.000], [0.750, 0.250, 0.500], [0.250, 0.750, 0.500]], "dos_at_fermi_per_ev_atom": 1.192, "energy_ev_per_atom": -4.457, "raw_formation_energy_ev_per_fu": 3.25, "polymorph_energy_mev_per_atom": 668, "crystal_system": "orthorhombic"}


{"formula": "ZrF", "functional": "GGA-PBE", "state": "relaxed", "lattice": [[-3.112, -0.328, 0.109], [1.853, -2.259, 1.127], [-0.112, 3.388, 6.977]], "species": ["Zr", "Zr", "F", "F"], "fractional_positions": [[0.333, 0.667, 0.689], [0.667, 0.333, 0.189], [0.333, 0.667, 0.393], [0.667, 0.333, 0.893]], "dos_at_fermi_per_ev_atom": 0.455, "energy_ev_per_atom": -6.931, "raw_formation_energy_ev_per_fu": -3.44, "polymorph_energy_mev_per_atom": 538, "crystal_system": "hexagonal"}


{"formula": "Tb4ErSe7", "functional": "GGA-PBE", "state": "relaxed", "lattice": [[3.978, 0.000, 0.000], [-1.989, 6.485, -1.706], [0.000, 0.048, 12.212]], "species": ["Tb", "Tb", "Tb", "Tb", "Er", "Se", "Se", "Se", "Se", "Se", "Se", "Se"], "fractional_positions": [[0.700, 0.400, 0.812], [0.300, 0.600, 0.189], [0.000, 0.000, 0.999], [0.113, 0.225, 0.423], [0.887, 0.774, 0.578], [0.742, 0.485, 0.354], [0.261, 0.522, 0.648], [0.340, 0.679, 0.949], [0.660, 0.320, 0.050], [0.039, 0.078, 0.782], [0.960, 0.921, 0.215], [0.498, 0.997, 0.501]], "dos_at_fermi_per_ev_atom": 0.133, "energy_ev_per_atom": -5.824, "raw_formation_energy_ev_per_fu": -22.41, "crystal_system": "monoclinic"}